1.
Crystalline TmNp2UN4 at its relaxed geometry. Source: the Alexandria database, functional GGA-PBE.

abc: 3.4251 5.9488 5.9515
angles: 109.26 90.00 90.00
With the nearest neighbours (Å) after each atom.
Fractional positions:
Tm (0.5000, 0.5000, 0.0000)  6 N 2.39-2.42
Np (0.5000, 0.0000, 0.5000)  6 N 2.44-2.46
Np (0.0000, 0.5000, 0.5000)  6 N 2.46-2.47
U (0.0000, 0.0000, 0.0000)  6 N 2.39-2.40
N (0.5000, 0.2469, 0.2402)  1 Tm 2.39, 2 U 2.40, 3 Np 2.46
N (0.5000, 0.7531, 0.7598)  1 Tm 2.39, 2 U 2.40, 3 Np 2.46
N (0.0000, 0.2476, 0.7556)  1 U 2.39, 2 Tm 2.42, 3 Np 2.44-2.47
N (0.0000, 0.7524, 0.2444)  1 U 2.39, 2 Tm 2.42, 3 Np 2.44-2.47

Computed properties:
Total moment   7.80 μB/cell
Uncorrected formation energy   -1.325 eV per atom

=====

2.
Crystalline Tm2Zr3NpN6 at its relaxed geometry. Source: the Alexandria database, functional GGA-PBE.

abc: 5.7557 5.7557 5.7878
angles: 99.53 99.53 120.04
With the nearest neighbours (Å) after each atom.
Fractional positions:
Tm (0.3332, 0.6668, 0.0000)  6 N 2.38-2.39
Tm (0.6668, 0.3332, 0.0000)  6 N 2.38-2.39
Zr (0.1689, 0.8311, 0.5000)  6 N 2.32-2.34
Zr (0.8311, 0.1689, 0.5000)  6 N 2.32-2.34
Zr (0.5000, 0.5000, 0.5000)  6 N 2.32-2.35
Np (0.0000, 0.0000, 0.0000)  6 N 2.36
N (0.9144, 0.5852, 0.7433)  3 Zr 2.32-2.34, 1 Np 2.36, 2 Tm 2.38-2.39
N (0.7560, 0.7560, 0.2571)  3 Zr 2.34-2.35, 1 Np 2.36, 2 Tm 2.39
N (0.0856, 0.4148, 0.2567)  3 Zr 2.32-2.34, 1 Np 2.36, 2 Tm 2.38-2.39
N (0.5852, 0.9144, 0.7433)  3 Zr 2.32-2.34, 1 Np 2.36, 2 Tm 2.38-2.39
N (0.2440, 0.2440, 0.7429)  3 Zr 2.34-2.35, 1 Np 2.36, 2 Tm 2.39
N (0.4148, 0.0856, 0.2567)  3 Zr 2.32-2.34, 1 Np 2.36, 2 Tm 2.38-2.39

Computed properties:
Total moment   2.76 μB/cell
Uncorrected formation energy   -1.663 eV per atom